(1)
VASP calculation (PBE) on a relaxed structure of CaBeBr.

Cell: 3.6240 3.6240 12.8329 Å, 90.00 90.00 90.00°
Last column: nearest neighbours and their distance in Å.
Space group I4mm (No. 107)
Inequivalent atoms, fractional coordinates:
Ca  0.0000  0.0000  0.0000 [2 per cell]  4 Br 3.02, 4 Be 3.07
Be  0.0000  0.0000  0.3678 [2 per cell]  4 Ca 3.07, 1 Br 3.29
Br  0.0000  0.0000  0.6245 [2 per cell]  4 Ca 3.02, 1 Be 3.29

Values from the calculation:
distance to the lowest polymorph of the same formula: 0 meV/atom
total magnetization: 0.000 μB/f.u.
raw formation energy: -0.145 eV/atom
calculated total energy: -15.7 eV/cell



(2)
VASP calculation (PBE) on a relaxed structure of K2InPb2.

Cell: 10.3638 10.3638 3.5336 Å, 90.00 90.00 90.00°
Last column: nearest neighbours and their distance in Å.
Space group P4/mbm (No. 127)
Inequivalent atoms, fractional coordinates:
K  0.1925  0.3075  0.0000 [4 per cell]  6 Pb 3.46-3.67, 2 K 3.53, 2 In 3.76
In  0.0000  0.0000  0.0000 [2 per cell]  2 In 3.53, 4 K 3.76
Pb  0.1046  0.6046  0.5000 [4 per cell]  1 Pb 3.07

Values from the calculation:
distance to the lowest polymorph of the same formula: 232 meV/atom
total magnetization: 0.000 μB/f.u.
DFT formation energy: 0.0754 eV per atom
calculated total energy: -23.9 eV/cell



(3)
VASP calculation (PBE) on a relaxed structure of KTb3Ho2Te6.

Cell: 19.3245 4.3778 8.9789 Å, 90.00 103.76 90.00°
Last column: nearest neighbours and their distance in Å.
Space group C2/m (No. 12)
Inequivalent atoms, fractional coordinates:
K  0.0000  0.0000  0.0000 [2 per cell]  6 Te 3.22-3.29
Tb  0.0000  0.0000  0.5000 [2 per cell]  6 Te 3.06-3.13
Tb  0.1594  0.5000  0.8177 [4 per cell]  6 Te 3.08-3.23
Ho  0.1684  0.5000  0.3427 [4 per cell]  6 Te 3.06-3.19
Te  0.0048  0.5000  0.2649 [4 per cell]  3 Tb 3.06-3.08, 1 Ho 3.07, 2 K 3.22
Te  0.1667  0.0000  0.5807 [4 per cell]  3 Ho 3.06-3.10, 3 Tb 3.08-3.13
Te  0.1751  0.0000  0.0878 [4 per cell]  3 Tb 3.11-3.23, 2 Ho 3.19, 1 K 3.29

Values from the calculation:
total magnetization: 0.000 μB/f.u.
raw formation energy: -1.290 eV/atom
calculated total energy: -116.9 eV/cell



(4)
VASP calculation (PBE) on a relaxed structure of ZnSiO3.

Cell: 9.4775 10.9836 5.5348 Å, 90.00 90.00 90.00°
Last column: nearest neighbours and their distance in Å.
Space group Ibam (No. 72)
Inequivalent atoms, fractional coordinates:
Zn  0.0000  0.2446  0.2500 [8 per cell]  4 O 1.96
Si  0.2458  0.4197  0.0000 [8 per cell]  4 O 1.63-1.64
O  0.1065  0.1570  0.5000 [8 per cell]  1 Si 1.63
O  0.1072  0.3312  0.0000 [8 per cell]  1 Si 1.63
O  0.2406  0.5000  0.2500 [8 per cell]  2 Si 1.64

Values from the calculation:
total magnetization: 0.000 μB/f.u.
raw formation energy: -2.238 eV/atom
calculated total energy: -262.1 eV/cell



Question: Which formula does entry 4 have?
Answer: ZnSiO3



Question: What is the total magnetization in the second record?
Answer: 0.000 μB/f.u.